DFT (PBE) results for MgTa3Zn after structural relaxation.

Calculated values
Excess energy over the best structure of this formula in the dataset, meV/atom: 671
SG: Pm-3m
Formation energy from the elements, meV/atom: 1905
Calculated total energy, eV/cell: -28.902

abc: 4.7144 4.7144 4.7144
angles: 90.00 90.00 90.00
Positions (direct):
Zn  0.5000  0.5000  0.5000
Mg  0.0000  0.0000  0.0000
Ta  0.0000  0.5000  0.0000
Ta  0.0000  0.0000  0.5000
Ta  0.5000  0.0000  0.0000